An optimized crystal structure of K3YAl2O6, computed with PBE.

a = 6.042 Å, b = 6.042 Å, c = 7.096 Å
α = 90.00°, β = 90.00°, γ = 120.00°
Atoms (fractional coordinates):
1 K 0.000 0.000 0.000
2 K 0.333 0.667 0.749
3 K 0.667 0.333 0.251
4 Y 0.000 0.000 0.500
5 Al 0.333 0.667 0.295
6 Al 0.667 0.333 0.705
7 O 0.170 0.341 0.296
8 O 0.170 0.830 0.296
9 O 0.341 0.170 0.704
10 O 0.659 0.830 0.296
11 O 0.830 0.170 0.704
12 O 0.830 0.659 0.704

Formation energy (no corrections), meV per atom: -2384